Crystalline Na2CoCl6 at its relaxed geometry. Source: Alexandria via LeMat-Bulk, functional PBE.

Values from the calculation:
SG = P4_2/mnm, No. 136
ΔE to the lowest computed polymorph = 0.480 eV/f.u.
Formation energy without anion corrections = -92.5 kJ per mole of atoms
Total DFT energy (no corrections) = -29.448 eV/f.u.

```
Na2CoCl6
1.0
6.164 0.000 0.000
0.000 6.164 0.000
0.000 0.000 11.812
Na Co Cl
4 2 12
direct
0.000 0.000 0.168
0.000 0.000 0.832
0.500 0.500 0.332
0.500 0.500 0.668
0.000 0.000 0.500
0.500 0.500 0.000
0.180 0.180 0.363
0.180 0.180 0.637
0.243 0.243 0.000
0.257 0.743 0.500
0.320 0.680 0.137
0.320 0.680 0.863
0.680 0.320 0.137
0.680 0.320 0.863
0.743 0.257 0.500
0.757 0.757 0.000
0.820 0.820 0.363
0.820 0.820 0.637
```